[1]
DFT (GGA-PBE) results for NaVP2S after structural relaxation.

Cell lengths 4.6128, 4.6128, 4.6142 Å; angles 90.00, 90.00, 90.00 degrees
Element x y z (fractional)
S 0.0000 0.0000 0.5000
P 0.0000 0.5000 0.0000
P 0.5000 0.0000 0.0000
Na 0.5000 0.5000 0.5000
V 0.0000 0.0000 0.0000

Summary:
As for the offset from the most stable computed form: 0.000 eV per atom. For the raw formation energy, the calculation gives -0.7 eV/f.u.

[2]
DFT (GGA-PBE) results for NaP2WS after structural relaxation.

Cell lengths 4.7366, 4.7366, 4.8120 Å; angles 90.00, 90.00, 90.00 degrees
Element x y z (fractional)
Na 0.5000 0.5000 0.5000
W 0.0000 0.0000 0.0000
P 0.5000 0.0000 0.0000
P 0.0000 0.5000 0.0000
S 0.0000 0.0000 0.5000

Summary:
As for the offset from the most stable computed form: 0.000 eV per atom. For the raw formation energy, the calculation gives 0.1 eV/f.u.

[3]
DFT (GGA-PBE) results for NaPWS2 after structural relaxation.

Cell lengths 4.6014, 4.6014, 4.5972 Å; angles 90.00, 90.00, 90.00 degrees
Element x y z (fractional)
S 0.0000 0.5000 0.0000
S 0.5000 0.0000 0.0000
W 0.5000 0.5000 0.5000
Na 0.0000 0.0000 0.0000
P 0.0000 0.0000 0.5000

Summary:
As for the offset from the most stable computed form: 2.073 eV per atom. For the raw formation energy, the calculation gives 9.4 eV/f.u.

[4]
DFT (GGA-PBE) results for NaPWS2 after structural relaxation.

Cell lengths 4.7598, 4.7598, 4.7444 Å; angles 90.00, 90.00, 90.00 degrees
Element x y z (fractional)
W 0.0000 0.0000 0.0000
S 0.5000 0.0000 0.0000
S 0.0000 0.5000 0.0000
P 0.0000 0.0000 0.5000
Na 0.5000 0.5000 0.5000

Summary:
As for the offset from the most stable computed form: 0.000 eV per atom. For the raw formation energy, the calculation gives -0.9 eV/f.u.

[5]
DFT (GGA-PBE) results for NaP2WS8 after structural relaxation.

Cell lengths 5.9259, 5.9259, 9.7556 Å; angles 72.32, 72.32, 60.00 degrees
Element x y z (fractional)
S 0.1878 0.1878 0.4366
S 0.8122 0.8122 0.5634
S 0.2867 0.9422 0.1495
S 0.9422 0.6216 0.1495
S 0.3784 0.7133 0.8505
S 0.0578 0.3784 0.8505
S 0.7133 0.0578 0.8505
S 0.6216 0.2867 0.1495
W 0.0000 0.0000 0.0000
P 0.2598 0.2598 0.2205
P 0.7402 0.7402 0.7795
Na 0.5000 0.5000 0.5000

Summary:
For the raw formation energy, the calculation gives -3.3 eV/f.u.

[6]
DFT (GGA-PBE) results for NaP2WS after structural relaxation.

Cell lengths 4.5989, 4.5989, 4.5613 Å; angles 90.00, 90.00, 90.00 degrees
Element x y z (fractional)
Na 0.0000 0.0000 0.0000
W 0.5000 0.5000 0.5000
P 0.5000 0.0000 0.0000
P 0.0000 0.5000 0.0000
S 0.0000 0.0000 0.5000

Summary:
As for the offset from the most stable computed form: 2.034 eV per atom. For the raw formation energy, the calculation gives 10.2 eV/f.u.

[7]
DFT (GGA-PBE) results for NaYbP2S6 after structural relaxation.

Cell lengths 7.0487, 7.4092, 10.0857 Å; angles 89.27, 74.94, 88.45 degrees
Element x y z (fractional)
S 0.6558 0.2447 0.9763
S 0.6872 0.3074 0.5711
S 0.1535 0.1910 0.4248
S 0.3442 0.7553 0.0237
S 0.8963 0.8463 0.9366
S 0.0845 0.4896 0.7343
S 0.1037 0.1537 0.0634
S 0.9155 0.5104 0.2657
S 0.8465 0.8090 0.5752
S 0.3219 0.0003 0.7369
S 0.6781 0.9997 0.2631
S 0.3128 0.6926 0.4289
P 0.0574 0.6060 0.5580
P 0.7996 0.0718 0.0684
P 0.9426 0.3940 0.4420
P 0.2004 0.9282 0.9316
Na 0.5242 0.3667 0.3204
Na 0.4758 0.6333 0.6796
Yb 0.9387 0.1252 0.7118
Yb 0.0613 0.8748 0.2882

Summary:
For the raw formation energy, the calculation gives -8.0 eV/f.u.

[8]
DFT (GGA-PBE) results for NaZnPS2 after structural relaxation.

Cell lengths 4.8838, 4.8838, 4.8710 Å; angles 90.00, 90.00, 90.00 degrees
Element x y z (fractional)
P 0.0000 0.0000 0.5000
Na 0.0000 0.0000 0.0000
Zn 0.5000 0.5000 0.5000
S 0.5000 0.0000 0.0000
S 0.0000 0.5000 0.0000

Summary:
As for the offset from the most stable computed form: 0.870 eV per atom. For the raw formation energy, the calculation gives 5.5 eV/f.u.

[9]
DFT (GGA-PBE) results for NaZnPS4 after structural relaxation.

Cell lengths 6.9160, 6.9160, 7.1679 Å; angles 90.00, 90.00, 112.34 degrees
Element x y z (fractional)
S 0.2463 0.7537 0.0231
S 0.1859 0.2309 0.7500
S 0.7537 0.2463 0.9769
S 0.2463 0.7537 0.4769
S 0.7537 0.2463 0.5231
S 0.8141 0.7691 0.2500
S 0.2309 0.1859 0.2500
S 0.7691 0.8141 0.7500
P 0.1367 0.8633 0.2500
P 0.8633 0.1367 0.7500
Na 0.5000 0.5000 0.0000
Na 0.5000 0.5000 0.5000
Zn 0.8692 0.1308 0.2500
Zn 0.1308 0.8692 0.7500

Summary:
For the raw formation energy, the calculation gives -4.1 eV/f.u.

[10]
DFT (GGA-PBE) results for NaZnP2S6 after structural relaxation.

Cell lengths 7.4338, 8.6496, 8.6496 Å; angles 83.09, 68.98, 68.98 degrees
Element x y z (fractional)
S 0.4275 0.3966 0.3096
S 0.1704 0.9622 0.8155
S 0.4127 0.8751 0.4004
S 0.6704 0.8155 0.9622
S 0.9275 0.3096 0.3966
S 0.8296 0.0378 0.1845
S 0.0725 0.6904 0.6034
S 0.5725 0.6034 0.6904
S 0.5873 0.1249 0.5996
S 0.3296 0.1845 0.0378
S 0.9127 0.4004 0.8751
S 0.0873 0.5996 0.1249
P 0.6567 0.2186 0.3634
P 0.1567 0.3634 0.2186
P 0.8433 0.6366 0.7814
P 0.3433 0.7814 0.6366
Na 0.7500 0.1445 0.8555
Na 0.2500 0.8555 0.1445
Zn 0.2500 0.2184 0.7816
Zn 0.7500 0.7816 0.2184

Summary:
For the raw formation energy, the calculation gives -3.5 eV/f.u.

[11]
DFT (GGA-PBE) results for NaZnPS2 after structural relaxation.

Cell lengths 4.9098, 4.9098, 4.5324 Å; angles 90.00, 90.00, 90.00 degrees
Element x y z (fractional)
P 0.0000 0.0000 0.5000
Na 0.5000 0.5000 0.5000
S 0.0000 0.5000 0.0000
S 0.5000 0.0000 0.0000
Zn 0.0000 0.0000 0.0000

Summary:
As for the offset from the most stable computed form: 0.000 eV per atom. For the raw formation energy, the calculation gives 1.2 eV/f.u.

[12]
DFT (GGA-PBE) results for Na3SbP after structural relaxation.

Cell lengths 5.8895, 5.8895, 5.8895 Å; angles 90.00, 90.00, 90.00 degrees
Element x y z (fractional)
P 0.5000 0.5000 0.5000
Na 0.5000 0.0000 0.0000
Na 0.0000 0.5000 0.0000
Na 0.0000 0.0000 0.5000
Sb 0.0000 0.0000 0.0000

Summary:
As for the offset from the most stable computed form: 0.236 eV per atom. For the raw formation energy, the calculation gives 1.8 eV/f.u.

Question: Which value of raw formation energy does entry 8 give?
Answer: 5.5 eV/f.u.

Repeat the seventh record exactly.
DFT (GGA-PBE) results for NaYbP2S6 after structural relaxation.

Cell lengths 7.0487, 7.4092, 10.0857 Å; angles 89.27, 74.94, 88.45 degrees
Element x y z (fractional)
S 0.6558 0.2447 0.9763
S 0.6872 0.3074 0.5711
S 0.1535 0.1910 0.4248
S 0.3442 0.7553 0.0237
S 0.8963 0.8463 0.9366
S 0.0845 0.4896 0.7343
S 0.1037 0.1537 0.0634
S 0.9155 0.5104 0.2657
S 0.8465 0.8090 0.5752
S 0.3219 0.0003 0.7369
S 0.6781 0.9997 0.2631
S 0.3128 0.6926 0.4289
P 0.0574 0.6060 0.5580
P 0.7996 0.0718 0.0684
P 0.9426 0.3940 0.4420
P 0.2004 0.9282 0.9316
Na 0.5242 0.3667 0.3204
Na 0.4758 0.6333 0.6796
Yb 0.9387 0.1252 0.7118
Yb 0.0613 0.8748 0.2882

Summary:
For the raw formation energy, the calculation gives -8.0 eV/f.u.